Here is a geometry-optimized CdAuI3 structure from Alexandria. Energies are from PBE.

Properties
The calculated total energy is -0.1223 Ry/atom. As for the density of states at the Fermi level: 4.00 states/eV per cell. Its calculated volume is 36.61 A^3/atom. The distance to the lowest polymorph of the same formula comes out at 1.86 eV per formula unit.

Cell lengths 5.6778, 5.6778, 5.6778 Å; angles 90.00, 90.00, 90.00 degrees
Space group Pm-3m (No. 221)
Inequivalent atoms, fractional coordinates:
Cd1 0.0000 0.0000 0.0000 (multiplicity 1)
Au1 0.5000 0.5000 0.5000 (multiplicity 1)
I1 0.0000 0.5000 0.5000 (multiplicity 3)